1.
Compound: BaLa2Ge
Source: the Alexandria database
Functional: PBE
Structure: relaxed

It has space group P4/mmm (No. 123), with a = 3.964 Å, b = 3.964 Å, c = 9.648 Å, α = 90.00°, β = 90.00° and γ = 90.00°. The inequivalent atoms are Ba at (0.000, 0.000, 0.000), La at (0.500, 0.500, 0.343) and Ge at (0.000, 0.000, 0.500).

The value obtained for the total energy is -0.1620 Ha/atom. Its crystal system is tetragonal. The formation energy from the elements is -310 meV per atom.

=====

2.
Compound: BaLaGe
Source: the Alexandria database
Functional: PBE
Structure: relaxed

It has space group P4/nmm (No. 129, origin choice 2), with a = 4.138 Å, b = 4.138 Å, c = 12.655 Å, α = 90.00°, β = 90.00° and γ = 90.00°. The inequivalent atoms are Ba at (0.250, 0.250, 0.158), La at (0.250, 0.250, 0.420) and Ge at (0.250, 0.250, 0.675).

The value obtained for the total energy is -0.1587 Ha/atom. The polymorph energy (0 for the lowest one) comes out at 8 kJ/mol of formula units. Its crystal system is tetragonal. The formation energy from the elements is -496 meV per atom.

=====

3.
Compound: BaLa2Ge2
Source: the Alexandria database
Functional: PBE
Structure: relaxed

It has space group I4/mmm (No. 139), with a = 4.945 Å, b = 4.945 Å, c = 13.195 Å, α = 90.00°, β = 90.00° and γ = 90.00°. The inequivalent atoms are Ba at (0.000, 0.000, 0.000), La at (0.000, 0.500, 0.250) and Ge at (0.000, 0.000, 0.400).

The value obtained for the total energy is -0.1731 Ha/atom. The polymorph energy (0 for the lowest one) comes out at 39 kJ/mol of formula units. Its crystal system is tetragonal. The formation energy from the elements is -508 meV per atom.

=====

4.
Compound: BaLaGe3
Source: the Alexandria database
Functional: PBE
Structure: relaxed

It has space group Pm-3m (No. 221), with a = 5.657 Å, b = 5.657 Å, c = 5.657 Å, α = 90.00°, β = 90.00° and γ = 90.00°. The inequivalent atoms are Ba at (0.000, 0.000, 0.000), La at (0.500, 0.500, 0.500) and Ge at (0.000, 0.500, 0.500).

The value obtained for the total energy is -0.1492 Ha/atom. The polymorph energy (0 for the lowest one) comes out at 0 kJ/mol of formula units. Its crystal system is cubic. The formation energy from the elements is 79 meV per atom.

=====

5.
Compound: BaLaGe3
Source: the Alexandria database
Functional: PBE
Structure: relaxed

It has space group Pm-3m (No. 221), with a = 5.579 Å, b = 5.579 Å, c = 5.579 Å, α = 90.00°, β = 90.00° and γ = 90.00°. The inequivalent atoms are Ba at (0.000, 0.000, 0.000), La at (0.500, 0.500, 0.500) and Ge at (0.000, 0.000, 0.500).

The value obtained for the total energy is -0.1276 Ha/atom. The polymorph energy (0 for the lowest one) comes out at 284 kJ/mol of formula units. Its crystal system is cubic. The formation energy from the elements is 669 meV per atom.

=====

6.
Compound: BaLaGe
Source: the Alexandria database
Functional: PBE
Structure: relaxed

It has space group P2_1/m (No. 11), with a = 4.260 Å, b = 4.546 Å, c = 12.698 Å, α = 90.00°, β = 90.11° and γ = 90.00°. The inequivalent atoms are Ba at (0.248, 0.250, 0.148), La at (0.249, 0.750, 0.398) and Ge at (0.252, 0.750, 0.643).

The value obtained for the total energy is -0.1587 Ha/atom. The polymorph energy (0 for the lowest one) comes out at 8 kJ/mol of formula units. Its crystal system is monoclinic. The formation energy from the elements is -495 meV per atom.

=====

7.
Compound: BaLaGe
Source: the Alexandria database
Functional: PBE
Structure: relaxed

It has space group Pmmn (No. 59, origin choice 2), with a = 4.911 Å, b = 4.947 Å, c = 8.682 Å, α = 90.00°, β = 90.00° and γ = 90.00°. The inequivalent atoms are Ba at (0.250, 0.250, 0.133), La at (0.250, 0.750, 0.520) and Ge at (0.250, 0.250, 0.737).

The value obtained for the total energy is -0.1597 Ha/atom. The polymorph energy (0 for the lowest one) comes out at 0 kJ/mol of formula units. Its crystal system is orthorhombic. The formation energy from the elements is -524 meV per atom.

=====

8.
Compound: BaLaGe
Source: the Alexandria database
Functional: PBE
Structure: relaxed

It has space group Cmcm (No. 63), with a = 4.568 Å, b = 23.974 Å, c = 4.182 Å, α = 90.00°, β = 90.00° and γ = 90.00°. The inequivalent atoms are Ba at (0.000, 0.181, 0.250), La at (0.000, 0.436, 0.250) and Ge at (0.000, 0.038, 0.250).

The value obtained for the total energy is -0.1582 Ha/atom. The polymorph energy (0 for the lowest one) comes out at 12 kJ/mol of formula units. Its crystal system is orthorhombic. The formation energy from the elements is -482 meV per atom.

=====

9.
Compound: BaLa2Ge
Source: the Alexandria database
Functional: PBE
Structure: relaxed

It has space group I-42d (No. 122), with a = 9.339 Å, b = 9.339 Å, c = 6.944 Å, α = 90.00°, β = 90.00° and γ = 90.00°. The inequivalent atoms are Ba at (0.000, 0.000, 0.000), La at (0.184, 0.250, 0.625) and Ge at (0.000, 0.000, 0.500).

The value obtained for the total energy is -0.1562 Ha/atom. Its crystal system is tetragonal. The formation energy from the elements is -152 meV per atom.

=====

10.
Compound: BaLaGe
Source: the Alexandria database
Functional: PBE
Structure: relaxed

It has space group Cm (No. 8), with a = 12.841 Å, b = 4.540 Å, c = 7.691 Å, α = 90.00°, β = 93.34° and γ = 90.00°. The inequivalent atoms are Ba at (0.000, 0.000, 0.000), Ba at (0.225, 0.500, 0.765), La at (0.013, 0.000, 0.476), La at (0.294, 0.000, 0.315), Ge at (0.130, 0.500, 0.273) and Ge at (0.411, 0.000, 0.684).

The value obtained for the total energy is -0.1580 Ha/atom. The polymorph energy (0 for the lowest one) comes out at 14 kJ/mol of formula units. Its crystal system is monoclinic. The formation energy from the elements is -476 meV per atom.

=====

11.
Compound: BaLa2Ge2
Source: the Alexandria database
Functional: PBE
Structure: relaxed

It has space group P4/mbm (No. 127), with a = 9.055 Å, b = 9.055 Å, c = 3.899 Å, α = 90.00°, β = 90.00° and γ = 90.00°. The inequivalent atoms are Ba at (0.000, 0.000, 0.000), La at (0.134, 0.366, 0.500) and Ge at (0.163, 0.663, 0.000).

The value obtained for the total energy is -0.1761 Ha/atom. The polymorph energy (0 for the lowest one) comes out at 0 kJ/mol of formula units. Its crystal system is tetragonal. The formation energy from the elements is -588 meV per atom.

=====

12.
Compound: BaLaGe
Source: the Alexandria database
Functional: PBE
Structure: relaxed

It has space group Cmc2_1 (No. 36), with a = 4.500 Å, b = 13.517 Å, c = 7.292 Å, α = 90.00°, β = 90.00° and γ = 90.00°. The inequivalent atoms are Ba at (0.000, 0.214, 0.000), La at (0.000, 0.499, 0.245) and Ge at (0.000, 0.095, 0.494).

The value obtained for the total energy is -0.1592 Ha/atom. The polymorph energy (0 for the lowest one) comes out at 4 kJ/mol of formula units. Its crystal system is orthorhombic. The formation energy from the elements is -511 meV per atom.

=====

13.
Compound: BaLi2La2Ge2
Source: the Alexandria database
Functional: PBE
Structure: relaxed

It has space group R-3m (No. 166, hexagonal axes), with a = 4.7832 Å, b = 4.7832 Å, c = 29.3039 Å, α = 90.00°, β = 90.00° and γ = 120.00°. The inequivalent atoms are Ba at (0.0000, 0.0000, 0.0000), Li at (0.0000, 0.0000, 0.4164), La at (0.0000, 0.0000, 0.1331) and Ge at (0.0000, 0.0000, 0.2503).

The value obtained for the total energy is -0.1485 Ha/atom. Its crystal system is trigonal. The formation energy from the elements is -492 meV per atom.

=====

14.
Compound: BaLa2GeN4
Source: the Alexandria database
Functional: PBE
Structure: relaxed

It has space group Cmcm (No. 63), with a = 3.646 Å, b = 12.793 Å, c = 12.386 Å, α = 90.00°, β = 90.00° and γ = 90.00°. The inequivalent atoms are Ba at (0.000, 0.090, 0.250), La at (0.000, 0.370, 0.041), Ge at (0.000, 0.185, 0.750), N at (0.000, 0.000, 0.000), N at (0.000, 0.262, 0.624) and N at (0.000, 0.404, 0.250).

The value obtained for the total energy is -0.2605 Ha/atom. Its crystal system is orthorhombic. The formation energy without anion corrections comes out at -0.875 eV per atom.

=====

15.
Compound: BaLaGe2S
Source: the Alexandria database
Functional: PBE
Structure: relaxed

It has space group P4/mmm (No. 123), with a = 5.391 Å, b = 5.391 Å, c = 5.260 Å, α = 90.00°, β = 90.00° and γ = 90.00°. The inequivalent atoms are Ba at (0.000, 0.000, 0.000), La at (0.500, 0.500, 0.000), Ge at (0.000, 0.500, 0.500) and S at (0.500, 0.500, 0.500).

The value obtained for the total energy is -0.1617 Ha/atom. Its crystal system is tetragonal. The formation energy without anion corrections comes out at -0.357 eV per atom.

=====

16.
Compound: Ba2LaGeSb
Source: the Alexandria database
Functional: PBE
Structure: relaxed

It has space group P4/mmm (No. 123), with a = 6.174 Å, b = 6.174 Å, c = 5.595 Å, α = 90.00°, β = 90.00° and γ = 90.00°. The inequivalent atoms are Ba at (0.000, 0.500, 0.000), La at (0.000, 0.000, 0.500), Ge at (0.500, 0.500, 0.000) and Sb at (0.500, 0.500, 0.500).

The value obtained for the total energy is -0.1259 Ha/atom. Its crystal system is tetragonal. The formation energy without anion corrections comes out at 0.077 eV per atom.

=====

17.
Compound: Ba2LaGeSe5
Source: the Alexandria database
Functional: PBE
Structure: relaxed

It has space group Cmc2_1 (No. 36), with a = 4.561 Å, b = 19.005 Å, c = 13.308 Å, α = 90.00°, β = 90.00° and γ = 90.00°. The inequivalent atoms are Ba at (0.000, 0.119, 0.000), Ba at (0.000, 0.122, 0.648), La at (0.000, 0.201, 0.342), Ge at (0.000, 0.448, 0.744), Se at (0.000, 0.035, 0.324), Se at (0.000, 0.300, 0.988), Se at (0.000, 0.321, 0.685), Se at (0.000, 0.352, 0.324) and Se at (0.000, 0.498, 0.079).

The value obtained for the total energy is -0.1836 Ha/atom. Its crystal system is orthorhombic. The formation energy without anion corrections comes out at -1.573 eV per atom.

=====

18.
Compound: BaLaTlGe2
Source: the Alexandria database
Functional: PBE
Structure: relaxed

It has space group P4/mmm (No. 123), with a = 5.705 Å, b = 5.705 Å, c = 6.008 Å, α = 90.00°, β = 90.00° and γ = 90.00°. The inequivalent atoms are Ba at (0.000, 0.000, 0.000), La at (0.500, 0.500, 0.500), Tl at (0.500, 0.500, 0.000) and Ge at (0.000, 0.500, 0.500).

The value obtained for the total energy is -0.1331 Ha/atom. Its crystal system is tetragonal. The formation energy from the elements is 68 meV per atom.

=====

19.
Compound: BaLa2Zn2Ge2
Source: the Alexandria database
Functional: PBE
Structure: relaxed

It has space group R-3m (No. 166, hexagonal axes), with a = 4.3224 Å, b = 4.3224 Å, c = 37.5257 Å, α = 90.00°, β = 90.00° and γ = 120.00°. The inequivalent atoms are Ba at (0.0000, 0.0000, 0.0000), La at (0.0000, 0.0000, 0.1236), Zn at (0.0000, 0.0000, 0.4034) and Ge at (0.0000, 0.0000, 0.2651).

The value obtained for the total energy is -0.1394 Ha/atom. Its crystal system is trigonal. The formation energy from the elements is -427 meV per atom.

=====

20.
Compound: BaLiGe3
Source: the Alexandria database
Functional: PBE
Structure: relaxed

It has space group Pm-3m (No. 221), with a = 4.900 Å, b = 4.900 Å, c = 4.900 Å, α = 90.00°, β = 90.00° and γ = 90.00°. The inequivalent atoms are Ba at (0.000, 0.000, 0.000), Li at (0.500, 0.500, 0.500) and Ge at (0.000, 0.500, 0.500).

The value obtained for the total energy is -0.1322 Ha/atom. The polymorph energy (0 for the lowest one) comes out at 132 kJ/mol of formula units. Its crystal system is cubic. The formation energy from the elements is -61 meV per atom.

=====

21.
Compound: BaLi2Ge
Source: the Alexandria database
Functional: PBE
Structure: relaxed

It has space group I-42d (No. 122), with a = 5.213 Å, b = 5.213 Å, c = 17.222 Å, α = 90.00°, β = 90.00° and γ = 90.00°. The inequivalent atoms are Ba at (0.000, 0.000, 0.000), Li at (0.001, 0.750, 0.625) and Ge at (0.000, 0.000, 0.500).

The value obtained for the total energy is -0.1027 Ha/atom. Its crystal system is tetragonal. The formation energy from the elements is -203 meV per atom.

=====

22.
Compound: Ba2LiGe
Source: the Alexandria database
Functional: PBE
Structure: relaxed

It has space group I-42d (No. 122), with a = 5.628 Å, b = 5.628 Å, c = 21.379 Å, α = 90.00°, β = 90.00° and γ = 90.00°. The inequivalent atoms are Ba at (0.227, 0.250, 0.125), Li at (0.000, 0.000, 0.500) and Ge at (0.000, 0.000, 0.000).

The value obtained for the total energy is -0.0877 Ha/atom. Its crystal system is tetragonal. The formation energy from the elements is 207 meV per atom.

=====

23.
Compound: BaLi12Ge4
Source: the Alexandria database
Functional: PBE
Structure: relaxed

It has space group Im-3 (No. 204), with a = 9.508 Å, b = 9.508 Å, c = 9.508 Å, α = 90.00°, β = 90.00° and γ = 90.00°. The inequivalent atoms are Ba at (0.000, 0.000, 0.000), Li at (0.000, 0.329, 0.214) and Ge at (0.250, 0.250, 0.250).

The value obtained for the total energy is -0.0964 Ha/atom. Its crystal system is cubic. The formation energy from the elements is -74 meV per atom.

=====

24.
Compound: Ba2LiGe
Source: the Alexandria database
Functional: PBE
Structure: relaxed

It has space group P2_1/m (No. 11), with a = 7.466 Å, b = 4.910 Å, c = 8.231 Å, α = 90.00°, β = 108.64° and γ = 90.00°. The inequivalent atoms are Ba at (0.142, 0.250, 0.377), Ba at (0.281, 0.250, 0.936), Li at (0.452, 0.750, 0.356) and Ge at (0.362, 0.750, 0.670).

The value obtained for the total energy is -0.1080 Ha/atom. Its crystal system is monoclinic. The formation energy from the elements is -345 meV per atom.